The following is a DFT calculation (PBE-GGA) of Y3Mg3Ga2Pt after structural relaxation.

magnetic moment = 0.03 μB per formula unit
total DFT energy (no corrections) = -42.2 eV/cell

Cell lengths 7.3314, 7.3314, 4.3028 Å; angles 90.00, 90.00, 120.00 degrees
With the nearest neighbours (Å) after each atom.
Element x y z (fractional)
Y 0.0000 0.5894 0.0000  1 Pt 3.01, 4 Ga 3.09, 2 Mg 3.35
Y 0.4106 0.4106 0.0000  1 Pt 3.01, 4 Ga 3.09, 2 Mg 3.35
Y 0.5894 0.0000 0.0000  1 Pt 3.01, 4 Ga 3.09, 2 Mg 3.35
Mg 0.0000 0.2397 0.5000  2 Pt 2.78, 2 Ga 2.85, 2 Mg 3.04
Mg 0.2397 0.0000 0.5000  2 Pt 2.78, 2 Ga 2.85, 2 Mg 3.04
Mg 0.7603 0.7603 0.5000  2 Pt 2.78, 2 Ga 2.85, 2 Mg 3.04
Ga 0.3333 0.6667 0.5000  3 Mg 2.85, 6 Y 3.09
Ga 0.6667 0.3333 0.5000  3 Mg 2.85, 6 Y 3.09
Pt 0.0000 0.0000 0.0000  6 Mg 2.78, 3 Y 3.01